Version a
DFT (PBE) results for crystalline LiRuRh2 at its relaxed geometry.

a b c (Å): 2.717 2.717 7.387
angles (deg): 90.00 90.00 90.00
Atoms (fractional coordinates):
Li1 0.500 0.500 0.754
Rh1 0.000 0.000 0.992
Rh2 0.500 0.500 0.253
Ru1 0.000 0.000 0.500

***

Version b
DFT (PBE) results for crystalline LiRuRh2 at its relaxed geometry.

a b c (Å): 2.761 2.761 7.028
angles (deg): 90.00 90.00 90.00
Atoms (fractional coordinates):
Li1 0.500 0.500 0.750
Rh1 0.000 0.000 0.992
Rh2 0.000 0.000 0.508
Ru1 0.500 0.500 0.250

***

Energies relative to the most stable structure are version a 13.6; version b 0.0, reported in kJ/mol of atoms.

***

Version a
DFT (PBE) results for crystalline RbHg3Pd at its relaxed geometry.

a b c (Å): 6.987 6.535 7.410
angles (deg): 114.73 82.86 89.82
Atoms (fractional coordinates):
Pd1 0.090 0.825 0.651
Pd2 0.147 0.610 0.243
Rb1 0.934 0.159 0.363
Rb2 0.533 0.206 0.925
Hg1 0.038 0.269 0.911
Hg2 0.762 0.693 0.433
Hg3 0.790 0.684 0.869
Hg4 0.383 0.461 0.462
Hg5 0.400 0.959 0.411
Hg6 0.263 0.721 0.927

***

Version b
DFT (PBE) results for crystalline RbHg3Pd at its relaxed geometry.

a b c (Å): 5.399 5.399 10.996
angles (deg): 90.00 90.00 120.00
Atoms (fractional coordinates):
Rb1 0.333 0.667 0.750
Rb2 0.667 0.333 0.250
Hg1 0.000 0.000 0.250
Hg2 0.000 0.000 0.750
Hg3 0.333 0.667 0.065
Hg4 0.333 0.667 0.435
Hg5 0.667 0.333 0.565
Hg6 0.667 0.333 0.935
Pd1 0.000 0.000 0.000
Pd2 0.000 0.000 0.500

***

Energies relative to the most stable structure are version a 0.0; version b 9.5, reported in kJ/mol of atoms.

***

Version a
DFT (PBE) results for crystalline Ba2SiAu at its relaxed geometry.

a b c (Å): 4.303 5.004 13.575
angles (deg): 100.62 90.00 90.00
Atoms (fractional coordinates):
Ba1 0.750 0.687 0.373
Ba2 0.250 0.313 0.627
Ba3 0.750 0.935 0.871
Ba4 0.250 0.065 0.129
Si1 0.250 0.474 0.948
Si2 0.750 0.526 0.052
Au1 0.250 0.189 0.379
Au2 0.750 0.811 0.621

***

Version b
DFT (PBE) results for crystalline Ba2SiAu at its relaxed geometry.

a b c (Å): 9.278 9.278 9.278
angles (deg): 27.94 27.94 27.94
Atoms (fractional coordinates):
Si1 0.458 0.458 0.458
Au1 0.792 0.792 0.792
Ba1 0.040 0.040 0.040
Ba2 0.210 0.210 0.210

***

Energies relative to the most stable structure are version a 0.0; version b 1.3, reported in kJ/mol of atoms.

***

Version a
DFT (PBE) results for crystalline LaMo at its relaxed geometry.

a b c (Å): 3.254 3.254 5.020
angles (deg): 90.00 90.00 120.00
Atoms (fractional coordinates):
La1 0.000 0.000 0.000
Mo1 0.333 0.667 0.500

***

Version b
DFT (PBE) results for crystalline LaMo at its relaxed geometry.

a b c (Å): 3.305 3.305 10.380
angles (deg): 90.00 90.00 120.00
Atoms (fractional coordinates):
La1 0.000 0.000 0.959
La2 0.333 0.667 0.291
Mo1 0.000 0.000 0.544
Mo2 0.333 0.667 0.706

***

Energies relative to the most stable structure are version a 40.5; version b 0.0, reported in kJ/mol of atoms.

***

Version a
DFT (PBE) results for crystalline SmTh3 at its relaxed geometry.

a b c (Å): 5.698 5.698 5.698
angles (deg): 60.00 60.00 60.00
Atoms (fractional coordinates):
Sm1 0.500 0.500 0.500
Th1 0.000 0.000 0.000
Th2 0.750 0.750 0.750
Th3 0.250 0.250 0.250

***

Version b
DFT (PBE) results for crystalline SmTh3 at its relaxed geometry.

a b c (Å): 5.060 5.060 6.208
angles (deg): 114.05 114.05 90.00
Atoms (fractional coordinates):
Sm1 0.000 0.000 0.000
Th1 0.750 0.250 0.500
Th2 0.250 0.750 0.500
Th3 0.500 0.500 0.000

***

Energies relative to the most stable structure are version a 12.1; version b 0.0, reported in kJ/mol of atoms.

***

Version a
DFT (PBE) results for crystalline SrRe2Ir at its relaxed geometry.

a b c (Å): 5.621 5.621 2.750
angles (deg): 81.29 81.29 121.58
Atoms (fractional coordinates):
Ir1 0.000 0.500 0.500
Re1 0.000 0.000 0.000
Re2 0.500 0.500 0.000
Sr1 0.500 0.000 0.500

***

Version b
DFT (PBE) results for crystalline SrRe2Ir at its relaxed geometry.

a b c (Å): 2.771 2.771 9.281
angles (deg): 90.00 90.00 90.00
Atoms (fractional coordinates):
Ir1 0.500 0.500 0.750
Re1 0.000 0.000 0.958
Re2 0.000 0.000 0.542
Sr1 0.500 0.500 0.250

***

Energies relative to the most stable structure are version a 27.2; version b 0.0, reported in kJ/mol of atoms.

***

Version a
DFT (PBE) results for crystalline HgPb5 at its relaxed geometry.

a b c (Å): 6.541 6.541 6.541
angles (deg): 60.00 60.00 60.00
Atoms (fractional coordinates):
Hg1 0.000 0.000 0.000
Pb1 0.250 0.250 0.250
Pb2 0.625 0.625 0.625
Pb3 0.625 0.625 0.125
Pb4 0.125 0.625 0.625
Pb5 0.625 0.125 0.625

***

Version b
DFT (PBE) results for crystalline HgPb5 at its relaxed geometry.

a b c (Å): 7.760 7.760 4.996
angles (deg): 90.00 90.00 142.59
Atoms (fractional coordinates):
Hg1 0.972 0.028 0.000
Pb1 0.810 0.190 0.500
Pb2 0.638 0.362 0.000
Pb3 0.472 0.528 0.500
Pb4 0.306 0.694 0.000
Pb5 0.135 0.865 0.500

***

Energies relative to the most stable structure are version a 14.1; version b 0.0, reported in kJ/mol of atoms.

***

Version a
DFT (PBE) results for crystalline HgSeCl2 at its relaxed geometry.

a b c (Å): 5.057 5.073 5.034
angles (deg): 66.38 78.95 113.79
Atoms (fractional coordinates):
Hg1 0.000 0.500 0.500
Se1 0.500 0.500 0.000
Cl1 0.000 0.000 0.000
Cl2 0.500 0.000 0.500

***

Version b
DFT (PBE) results for crystalline HgSeCl2 at its relaxed geometry.

a b c (Å): 5.126 5.126 5.126
angles (deg): 60.00 60.00 60.00
Atoms (fractional coordinates):
Hg1 0.500 0.500 0.500
Se1 0.000 0.000 0.000
Cl1 0.250 0.250 0.250
Cl2 0.750 0.750 0.750

***

Energies relative to the most stable structure are version a 0.0; version b 34.1, reported in kJ/mol of atoms.